[1]
Computed, not measured: Tc2TeBr after structural relaxation at the PBE-GGA level of DFT.

Output
Density of states at the Fermi level ... 4.14 states/eV per cell
E_form (uncorrected) ... 632 meV/atom
Symmetry ... No. 12
Energy relative to the lowest polymorph listed for this composition ... 1.86 eV per formula unit
Magnetic moment ... 0.00 μB per formula unit

The structure in CIF format:
```
data_Tc2TeBr
_chemical_formula_sum 'Tc2 Te1 Br1'
_symmetry_space_group_name_H-M 'P 1'
_symmetry_Int_Tables_number 1
_cell_length_a 4.497
_cell_length_b 4.497
_cell_length_c 5.825
_cell_angle_alpha 75.89
_cell_angle_beta 75.89
_cell_angle_gamma 41.65
loop_
_symmetry_equiv_pos_as_xyz
'x,y,z'
loop_
_atom_site_label
_atom_site_type_symbol
_atom_site_fract_x
_atom_site_fract_y
_atom_site_fract_z
Tc1 Tc 0.503 0.503 0.541
Tc2 Tc 0.997 0.997 0.959
Te1 Te 0.750 0.750 0.750
Br1 Br 0.250 0.250 0.250
```

[2]
Computed, not measured: Tc2TeBr after structural relaxation at the PBE-GGA level of DFT.

Output
Density of states at the Fermi level ... 2.24 states/eV per cell
E_form (uncorrected) ... 1083 meV/atom
Symmetry ... No. 216
Energy relative to the lowest polymorph listed for this composition ... 3.67 eV per formula unit
Magnetic moment ... 0.44 μB per formula unit

The structure in CIF format:
```
data_Tc2TeBr
_chemical_formula_sum 'Tc2 Te1 Br1'
_symmetry_space_group_name_H-M 'P 1'
_symmetry_Int_Tables_number 1
_cell_length_a 4.737
_cell_length_b 4.737
_cell_length_c 4.737
_cell_angle_alpha 60.00
_cell_angle_beta 60.00
_cell_angle_gamma 60.00
loop_
_symmetry_equiv_pos_as_xyz
'x,y,z'
loop_
_atom_site_label
_atom_site_type_symbol
_atom_site_fract_x
_atom_site_fract_y
_atom_site_fract_z
Te1 Te 0.750 0.750 0.750
Br1 Br 0.500 0.500 0.500
Tc1 Tc 0.250 0.250 0.250
Tc2 Tc 0.000 0.000 0.000
```

[3]
Computed, not measured: TcTe2Br after structural relaxation at the PBE-GGA level of DFT.

Output
Density of states at the Fermi level ... 2.49 states/eV per cell
E_form (uncorrected) ... -26 meV/atom
Symmetry ... No. 12
Energy relative to the lowest polymorph listed for this composition ... 0.64 eV per formula unit
Magnetic moment ... 0.00 μB per formula unit

The structure in CIF format:
```
data_TcTe2Br
_chemical_formula_sum 'Tc1 Te2 Br1'
_symmetry_space_group_name_H-M 'P 1'
_symmetry_Int_Tables_number 1
_cell_length_a 4.161
_cell_length_b 4.161
_cell_length_c 8.344
_cell_angle_alpha 96.91
_cell_angle_beta 96.91
_cell_angle_gamma 49.76
loop_
_symmetry_equiv_pos_as_xyz
'x,y,z'
loop_
_atom_site_label
_atom_site_type_symbol
_atom_site_fract_x
_atom_site_fract_y
_atom_site_fract_z
Te1 Te 0.581 0.581 0.424
Te2 Te 0.919 0.919 0.076
Br1 Br 0.750 0.750 0.750
Tc1 Tc 0.250 0.250 0.250
```

[4]
Computed, not measured: TcTeBr2 after structural relaxation at the PBE-GGA level of DFT.

Output
Density of states at the Fermi level ... 2.84 states/eV per cell
E_form (uncorrected) ... 31 meV/atom
Symmetry ... No. 160
Energy relative to the lowest polymorph listed for this composition ... 0.34 eV per formula unit
Magnetic moment ... 2.27 μB per formula unit

The structure in CIF format:
```
data_TcTeBr2
_chemical_formula_sum 'Tc1 Te1 Br2'
_symmetry_space_group_name_H-M 'P 1'
_symmetry_Int_Tables_number 1
_cell_length_a 8.986
_cell_length_b 8.986
_cell_length_c 8.986
_cell_angle_alpha 24.08
_cell_angle_beta 24.08
_cell_angle_gamma 24.08
loop_
_symmetry_equiv_pos_as_xyz
'x,y,z'
loop_
_atom_site_label
_atom_site_type_symbol
_atom_site_fract_x
_atom_site_fract_y
_atom_site_fract_z
Br1 Br 0.224 0.224 0.224
Br2 Br 0.013 0.013 0.013
Te1 Te 0.767 0.767 0.767
Tc1 Tc 0.496 0.496 0.496
```

[5]
Computed, not measured: Tc3TeBr after structural relaxation at the PBE-GGA level of DFT.

Output
Density of states at the Fermi level ... 6.78 states/eV per cell
E_form (uncorrected) ... 1586 meV/atom
Symmetry ... No. 221
Energy relative to the lowest polymorph listed for this composition ... 0.00 eV per formula unit
Magnetic moment ... 0.64 μB per formula unit

The structure in CIF format:
```
data_Tc3TeBr
_chemical_formula_sum 'Tc3 Te1 Br1'
_symmetry_space_group_name_H-M 'P 1'
_symmetry_Int_Tables_number 1
_cell_length_a 4.625
_cell_length_b 4.625
_cell_length_c 4.625
_cell_angle_alpha 90.00
_cell_angle_beta 90.00
_cell_angle_gamma 90.00
loop_
_symmetry_equiv_pos_as_xyz
'x,y,z'
loop_
_atom_site_label
_atom_site_type_symbol
_atom_site_fract_x
_atom_site_fract_y
_atom_site_fract_z
Tc1 Tc 0.000 0.500 0.000
Tc2 Tc 0.500 0.000 0.000
Tc3 Tc 0.000 0.000 0.500
Br1 Br 0.000 0.000 0.000
Te1 Te 0.500 0.500 0.500
```

[6]
Computed, not measured: TcTeBr2 after structural relaxation at the PBE-GGA level of DFT.

Output
Density of states at the Fermi level ... 1.35 states/eV per cell
E_form (uncorrected) ... -54 meV/atom
Symmetry ... No. 38
Energy relative to the lowest polymorph listed for this composition ... 0.00 eV per formula unit
Magnetic moment ... 0.90 μB per formula unit

The structure in CIF format:
```
data_TcTeBr2
_chemical_formula_sum 'Tc1 Te1 Br2'
_symmetry_space_group_name_H-M 'P 1'
_symmetry_Int_Tables_number 1
_cell_length_a 3.709
_cell_length_b 6.857
_cell_length_c 6.855
_cell_angle_alpha 43.04
_cell_angle_beta 90.00
_cell_angle_gamma 90.00
loop_
_symmetry_equiv_pos_as_xyz
'x,y,z'
loop_
_atom_site_label
_atom_site_type_symbol
_atom_site_fract_x
_atom_site_fract_y
_atom_site_fract_z
Tc1 Tc 0.000 0.515 0.516
Br1 Br 0.500 0.361 0.361
Br2 Br 0.000 0.969 0.969
Te1 Te 0.500 0.655 0.655
```

[7]
Computed, not measured: Tc2Te2Br after structural relaxation at the PBE-GGA level of DFT.

Output
Density of states at the Fermi level ... 10.75 states/eV per cell
E_form (uncorrected) ... 579 meV/atom
Symmetry ... No. 127
Energy relative to the lowest polymorph listed for this composition ... 3.07 eV per formula unit
Magnetic moment ... 0.69 μB per formula unit

The structure in CIF format:
```
data_Tc2Te2Br
_chemical_formula_sum 'Tc4 Te4 Br2'
_symmetry_space_group_name_H-M 'P 1'
_symmetry_Int_Tables_number 1
_cell_length_a 8.313
_cell_length_b 8.313
_cell_length_c 3.170
_cell_angle_alpha 90.00
_cell_angle_beta 90.00
_cell_angle_gamma 90.00
loop_
_symmetry_equiv_pos_as_xyz
'x,y,z'
loop_
_atom_site_label
_atom_site_type_symbol
_atom_site_fract_x
_atom_site_fract_y
_atom_site_fract_z
Te1 Te 0.140 0.360 0.000
Te2 Te 0.860 0.640 0.000
Te3 Te 0.640 0.140 0.000
Te4 Te 0.360 0.860 0.000
Br1 Br 0.500 0.500 0.000
Br2 Br 0.000 0.000 0.000
Tc1 Tc 0.874 0.374 0.500
Tc2 Tc 0.626 0.874 0.500
Tc3 Tc 0.126 0.626 0.500
Tc4 Tc 0.374 0.126 0.500
```

[8]
Computed, not measured: Tc2TeBr after structural relaxation at the PBE-GGA level of DFT.

Output
Density of states at the Fermi level ... 5.84 states/eV per cell
E_form (uncorrected) ... 1027 meV/atom
Symmetry ... No. 12
Energy relative to the lowest polymorph listed for this composition ... 3.45 eV per formula unit
Magnetic moment ... 1.52 μB per formula unit

The structure in CIF format:
```
data_Tc2TeBr
_chemical_formula_sum 'Tc2 Te1 Br1'
_symmetry_space_group_name_H-M 'P 1'
_symmetry_Int_Tables_number 1
_cell_length_a 5.633
_cell_length_b 5.468
_cell_length_c 3.113
_cell_angle_alpha 71.75
_cell_angle_beta 93.17
_cell_angle_gamma 122.07
loop_
_symmetry_equiv_pos_as_xyz
'x,y,z'
loop_
_atom_site_label
_atom_site_type_symbol
_atom_site_fract_x
_atom_site_fract_y
_atom_site_fract_z
Te1 Te 0.000 0.500 0.500
Br1 Br 0.500 0.500 0.000
Tc1 Tc 0.500 0.000 0.500
Tc2 Tc 0.000 0.000 0.000
```

- Which of these has the lowest density of states at the Fermi level?
  number 6

- energy relative to the lowest polymorph listed for this composition of number 2 (Tc2TeBr)?
  3.67 eV per formula unit